Record 1
{
  "formula": "LiAc2Sn4Pd3",
  "functional": "GGA-PBE",
  "state": "optimized geometry",
  "lattice_angstrom": [[4.675, 0.000, 0.000], [0.000, 4.675, 0.000], [0.000, 0.000, 11.039]],
  "species": ["Sn", "Sn", "Sn", "Sn", "Pd", "Pd", "Pd", "Li", "Ac", "Ac"],
  "frac_coords": [[0.000, 0.000, 0.000], [0.000, 0.500, 0.373], [0.500, 0.500, 0.000], [0.500, 0.000, 0.627], [0.000, 0.500, 0.130], [0.500, 0.000, 0.870], [0.000, 0.000, 0.500], [0.500, 0.500, 0.500], [0.500, 0.000, 0.257], [0.000, 0.500, 0.743]],
  "formation_energy_ev_per_atom": -0.76,
  "crystal_system": "tetragonal",
  "magnetic_moment_mub_per_atom": 0.000,
  "e_tot_ev_per_atom": -4.932
}

Record 2
{
  "formula": "LiAcSn2Pd4",
  "functional": "GGA-PBE",
  "state": "optimized geometry",
  "lattice_angstrom": [[-1.281, -4.332, 0.346], [2.753, -3.298, -1.438], [4.233, -2.995, 7.838]],
  "species": ["Sn", "Sn", "Pd", "Pd", "Pd", "Pd", "Li", "Ac"],
  "frac_coords": [[0.766, 0.766, 0.703], [0.234, 0.234, 0.297], [0.404, 0.404, 0.789], [0.133, 0.133, 0.600], [0.596, 0.596, 0.211], [0.867, 0.867, 0.400], [0.500, 0.500, 0.500], [0.000, 0.000, 0.000]],
  "formation_energy_ev_per_atom": -0.72,
  "crystal_system": "trigonal",
  "magnetic_moment_mub_per_atom": 0.000,
  "e_tot_ev_per_atom": -5.071
}